No. 1
Compound: La2Pm2Er5
Source: Alexandria
Functional: PBE
Structure: optimized geometry

Values from the calculation:
The density of states at the Fermi level comes out at 30.86 states/eV per cell. Its space-group type is Ima2. The formation energy from the elements comes out at 0.20 eV/atom. For the polymorph energy (0 for the lowest one), the calculation gives 0 meV/atom.

The structure in extended XYZ format:
```
18
Lattice="-7.509 5.977 3.373 7.509 -5.977 3.373 7.509 5.977 -3.373" Properties=species:S:1:pos:R:3 pbc="T T T"
La 1.918 0.021 0.000
La 5.591 0.021 0.000
La 1.918 5.957 3.373
La 5.591 5.957 3.373
Pm 0.000 0.000 3.094
Pm 7.509 0.000 3.094
Pm 3.754 5.883 0.297
Pm 3.754 0.094 3.670
Er 11.263 2.882 -1.018
Er 5.367 3.205 -1.158
Er 9.651 -2.772 2.215
Er -0.794 3.038 0.939
Er 8.303 3.038 0.939
Er 2.142 2.772 2.215
Er 5.367 2.772 2.215
Er -3.754 3.095 2.355
Er 0.794 8.917 0.939
Er -0.794 2.940 4.312
```


No. 2
Compound: NaTaS3
Source: Alexandria
Functional: PBE
Structure: optimized geometry

Values from the calculation:
Its space-group type is C2/c. As for the formation energy from raw total energies: -1012 meV per atom. For the polymorph energy (0 for the lowest one), the calculation gives 0 meV/atom.

The structure in extended XYZ format:
```
20
Lattice="6.832 -5.418 0.000 6.832 5.418 0.000 -0.994 0.000 6.313" Properties=species:S:1:pos:R:3 pbc="T T T"
Na 6.086 4.183 4.735
Na 6.583 2.376 1.578
Na 6.086 -2.376 4.735
Na 6.583 -4.183 1.578
Ta 3.287 0.847 0.184
Ta 2.790 -0.847 3.341
Ta 9.879 0.847 2.972
Ta 9.382 -0.847 6.129
S 1.228 0.778 4.086
S 3.918 2.644 5.676
S 1.725 -0.778 0.929
S 4.415 0.698 2.239
S 8.255 2.644 3.793
S 3.918 -0.698 5.395
S 8.751 0.698 0.918
S 4.415 -2.644 2.520
S 8.255 -0.698 4.074
S 10.945 0.778 5.384
S 8.752 -2.644 0.636
S 11.442 -0.778 2.227
```


No. 3
Compound: AlCoHg
Source: Alexandria
Functional: PBE
Structure: optimized geometry

Values from the calculation:
The density of states at the Fermi level comes out at 1.10 states/eV per cell. Its space-group type is I4mm. The formation energy from the elements comes out at 0.03 eV/atom. For the polymorph energy (0 for the lowest one), the calculation gives 0 meV/atom.

The structure in extended XYZ format:
```
3
Lattice="-1.514 1.514 5.074 1.514 -1.514 5.074 1.514 1.514 -5.074" Properties=species:S:1:pos:R:3 pbc="T T T"
Al 0.000 0.000 0.000
Co 0.000 0.000 6.178
Hg 0.000 0.000 2.969
```


No. 4
Compound: AlCdNi
Source: Alexandria
Functional: PBE
Structure: optimized geometry

Values from the calculation:
The density of states at the Fermi level comes out at 1.12 states/eV per cell. Its space-group type is I4mm. The formation energy from the elements comes out at -0.19 eV/atom. For the polymorph energy (0 for the lowest one), the calculation gives 0 meV/atom.

The structure in extended XYZ format:
```
3
Lattice="-1.465 1.465 5.463 1.465 -1.465 5.463 1.465 1.465 -5.463" Properties=species:S:1:pos:R:3 pbc="T T T"
Al 0.000 0.000 0.000
Cd 0.000 0.000 3.178
Ni 0.000 0.000 6.735
```


No. 5
Compound: CaInPb2
Source: Alexandria
Functional: PBE
Structure: optimized geometry

Values from the calculation:
The density of states at the Fermi level comes out at 5.30 states/eV per cell. Its space-group type is I-42d. The formation energy from the elements comes out at -0.12 eV/atom.

The structure in extended XYZ format:
```
8
Lattice="-2.411 2.411 11.100 2.411 -2.411 11.100 2.411 2.411 -11.100" Properties=species:S:1:pos:R:3 pbc="T T T"
Ca 0.000 0.000 0.000
Ca 0.000 2.411 5.550
In 2.411 0.000 5.550
In 0.000 0.000 11.100
Pb 1.206 -1.134 8.325
Pb 1.277 1.206 2.775
Pb 1.206 3.545 -2.775
Pb 1.134 1.206 13.875
```


No. 6
Compound: ErGa2Pd3
Source: Alexandria
Functional: PBE
Structure: optimized geometry

Values from the calculation:
The density of states at the Fermi level comes out at 4.35 states/eV per cell. Its space-group type is P6_3/mmc. The formation energy from the elements comes out at -0.83 eV/atom.

The structure in extended XYZ format:
```
12
Lattice="4.403 0.000 0.000 -2.202 3.814 0.000 0.000 0.000 12.309" Properties=species:S:1:pos:R:3 pbc="T T T"
Er 0.000 0.000 3.077
Er 0.000 0.000 9.232
Ga 0.000 2.542 1.060
Ga 0.000 2.542 5.094
Ga 2.202 1.271 7.215
Ga 2.202 1.271 11.248
Pd 0.000 0.000 0.000
Pd 0.000 0.000 6.154
Pd 0.000 2.542 7.718
Pd 0.000 2.542 10.745
Pd 2.202 1.271 1.564
Pd 2.202 1.271 4.590
```